No. 1
The following is a meta-GGA SCAN calculation of a crystal of NaCa2Tl2 relaxed with PBEsol, from Alexandria via LeMat-Bulk.

Total magnetic moment   0.0 μB/f.u.
DFT formation energy   -93 kJ/mol of formula units
Uncorrected energy   -33.85 eV/atom
Polymorph energy (0 for the lowest one)   1.319 eV/f.u.

Structure (POSCAR):
```
NaCa2Tl2
1.0
-2.475 2.475 6.910
2.475 -2.475 6.910
2.475 2.475 -6.910
Na Ca Tl
1 2 2
direct
0.000 0.000 0.000
0.250 0.750 0.500
0.750 0.250 0.500
0.398 0.398 0.000
0.602 0.602 0.000
```


No. 2
The following is a meta-GGA SCAN calculation of a crystal of ZnWBr2 relaxed with PBEsol, from Alexandria via LeMat-Bulk.

Formation energy without anion corrections   1.89 eV per formula unit
Total magnetic moment   0.0 μB/f.u.
Uncorrected energy   -30.06 eV/atom
Polymorph energy (0 for the lowest one)   0.755 eV/f.u.

Structure (POSCAR):
```
ZnWBr2
1.0
3.114 0.000 0.000
0.000 3.114 0.000
0.000 0.000 7.937
Zn W Br
1 1 2
direct
0.000 0.000 0.000
0.500 0.500 0.777
0.000 0.000 0.590
0.500 0.500 0.207
```


No. 3
The following is a meta-GGA SCAN calculation of a crystal of CoHg2Cl relaxed with PBEsol, from Alexandria via LeMat-Bulk.

Formation energy without anion corrections   1.64 eV per formula unit
Total magnetic moment   2.0 μB/f.u.
Uncorrected energy   -39.99 eV/atom
Polymorph energy (0 for the lowest one)   1.907 eV/f.u.

Structure (POSCAR):
```
CoHg2Cl
1.0
-2.094 2.094 4.314
2.094 -2.094 4.314
2.094 2.094 -4.314
Co Hg Cl
1 2 1
direct
0.000 0.000 0.000
0.500 0.500 0.000
0.750 0.250 0.500
0.250 0.750 0.500
```